K3Na2BiO6 after structural relaxation, computed with PBE.

The calculation puts the energy at -4.426 eV/atom. The value obtained for the formation energy (no corrections) is -13.55 eV/f.u. The volume is 404 Å³/cell. Its magnetization is 4.01 Bohr magnetons per cell. The calculation puts the density of states at the Fermi level at 16.49 states/eV per cell.

The structure belongs to space group C2/m (No. 12); the cell edges are 6.1903, 10.6847 and 6.4479 Å and the angles 90.00°, 108.72° and 90.00°. The distinct sites, in fractional coordinates, are K at (0.0000, 0.0000, 0.0000), K at (0.0000, 0.3218, 0.0000), Na at (0.0000, 0.1666, 0.5000), Bi at (0.0000, 0.5000, 0.5000), O at (0.2109, 0.3549, 0.6979) and O at (0.2201, 0.5000, 0.3001).